(1)
Here is crystalline HfGa3Tc at its relaxed geometry from the Alexandria database. Energies are from PBE-GGA.

Computed properties:
Mass density in g/cm³: 6.2
Total energy in eV for the cell shown: -23.18
E_form in eV per atom: 1.244
Total moment in μB per formula unit: 3.5
Polymorph energy (0 for the lowest one) in eV per atom: 1.206

Cell and atoms, written as CIF:
```
data_HfGa3Tc
_chemical_formula_sum 'Hf1 Ga3 Tc1'
_symmetry_space_group_name_H-M 'P m -3 m'
_symmetry_Int_Tables_number 221
_symmetry_space_group_name_Hall '-P 4 2 3'
_cell_length_a 5.065
_cell_length_b 5.065
_cell_length_c 5.065
_cell_angle_alpha 90.00
_cell_angle_beta 90.00
_cell_angle_gamma 90.00
loop_
_atom_site_label
_atom_site_type_symbol
_atom_site_fract_x
_atom_site_fract_y
_atom_site_fract_z
Hf1 Hf 0.000 0.000 0.000
Ga1 Ga 0.000 0.000 0.500
Tc1 Tc 0.500 0.500 0.500
```

---

(2)
Here is crystalline LaBTe2 at its relaxed geometry from the Alexandria database. Energies are from PBE-GGA.

Computed properties:
Mass density in g/cm³: 6.5
ΔE_f (raw) in kJ/mol of atoms: -10.1
Total energy in eV for the cell shown: -73.23
Total moment in μB per formula unit: 0.0

Cell and atoms, written as CIF:
```
data_LaBTe2
_chemical_formula_sum 'La4 B4 Te8'
_symmetry_space_group_name_H-M 'I -4 2 d'
_symmetry_Int_Tables_number 122
_symmetry_space_group_name_Hall 'I -4 2bw'
_cell_length_a 7.441
_cell_length_b 7.441
_cell_length_c 7.442
_cell_angle_alpha 90.00
_cell_angle_beta 90.00
_cell_angle_gamma 90.00
loop_
_atom_site_label
_atom_site_type_symbol
_atom_site_fract_x
_atom_site_fract_y
_atom_site_fract_z
La1 La 0.000 0.000 0.000
B1 B 0.000 0.000 0.500
Te1 Te 0.152 0.250 0.625
```

---

(3)
Here is crystalline NdDy2Hg6 at its relaxed geometry from the Alexandria database. Energies are from PBE-GGA.

Computed properties:
Mass density in g/cm³: 12.4
Total energy in eV for the cell shown: -19.36
E_form in eV per atom: -0.397
Total moment in μB per formula unit: 0.3
Polymorph energy (0 for the lowest one) in eV per atom: 0.000

Cell and atoms, written as CIF:
```
data_NdDy2Hg6
_chemical_formula_sum 'Nd1 Dy2 Hg6'
_symmetry_space_group_name_H-M 'P 6/m m m'
_symmetry_Int_Tables_number 191
_symmetry_space_group_name_Hall '-P 6 2'
_cell_length_a 8.6426
_cell_length_b 8.6426
_cell_length_c 3.4517
_cell_angle_alpha 90.00
_cell_angle_beta 90.00
_cell_angle_gamma 120.00
loop_
_atom_site_label
_atom_site_type_symbol
_atom_site_fract_x
_atom_site_fract_y
_atom_site_fract_z
Nd1 Nd 0.0000 0.0000 0.0000
Dy1 Dy 0.3333 0.6667 0.0000
Hg1 Hg 0.0000 0.3355 0.5000
```

---

(4)
Here is crystalline PRh2WN at its relaxed geometry from the Alexandria database. Energies are from PBE-GGA.

Computed properties:
Mass density in g/cm³: 8.6
ΔE_f (raw) in kJ/mol of atoms: 149.4
Total energy in eV for the cell shown: -33.65
Total moment in μB per formula unit: 0.4

Cell and atoms, written as CIF:
```
data_PRh2WN
_chemical_formula_sum 'P1 Rh2 W1 N1'
_symmetry_space_group_name_H-M 'P 4/m m m'
_symmetry_Int_Tables_number 123
_symmetry_space_group_name_Hall '-P 4 2'
_cell_length_a 4.272
_cell_length_b 4.272
_cell_length_c 4.583
_cell_angle_alpha 90.00
_cell_angle_beta 90.00
_cell_angle_gamma 90.00
loop_
_atom_site_label
_atom_site_type_symbol
_atom_site_fract_x
_atom_site_fract_y
_atom_site_fract_z
P1 P 0.000 0.000 0.000
Rh1 Rh 0.000 0.500 0.000
W1 W 0.000 0.000 0.500
N1 N 0.500 0.500 0.500
```

---

(5)
Here is crystalline Ca2ScIn at its relaxed geometry from the Alexandria database. Energies are from PBE-GGA.

Computed properties:
Mass density in g/cm³: 3.2
Total energy in eV for the cell shown: -39.74
E_form in eV per atom: -0.043
Total moment in μB per formula unit: 0.8

Cell and atoms, written as CIF:
```
data_Ca2ScIn
_chemical_formula_sum 'Ca6 Sc3 In3'
_symmetry_space_group_name_H-M 'R 3 m'
_symmetry_Int_Tables_number 160
_symmetry_space_group_name_Hall 'R 3 -2"'
_cell_length_a 3.6098
_cell_length_b 3.6098
_cell_length_c 33.5058
_cell_angle_alpha 90.00
_cell_angle_beta 90.00
_cell_angle_gamma 120.00
loop_
_atom_site_label
_atom_site_type_symbol
_atom_site_fract_x
_atom_site_fract_y
_atom_site_fract_z
Ca1 Ca 0.0000 0.0000 0.0000
Ca2 Ca 0.0000 0.0000 0.2340
Sc1 Sc 0.0000 0.0000 0.7537
In1 In 0.0000 0.0000 0.4903
```

---

(6)
Here is crystalline HfTlF3 at its relaxed geometry from the Alexandria database. Energies are from PBE-GGA.

Computed properties:
Mass density in g/cm³: 7.2
ΔE_f (raw) in kJ/mol of atoms: -63.8
Total energy in eV for the cell shown: -21.24
Total moment in μB per formula unit: 0.0
Polymorph energy (0 for the lowest one) in eV per atom: 1.541

Cell and atoms, written as CIF:
```
data_HfTlF3
_chemical_formula_sum 'Hf1 Tl1 F3'
_symmetry_space_group_name_H-M 'P m -3 m'
_symmetry_Int_Tables_number 221
_symmetry_space_group_name_Hall '-P 4 2 3'
_cell_length_a 4.664
_cell_length_b 4.664
_cell_length_c 4.664
_cell_angle_alpha 90.00
_cell_angle_beta 90.00
_cell_angle_gamma 90.00
loop_
_atom_site_label
_atom_site_type_symbol
_atom_site_fract_x
_atom_site_fract_y
_atom_site_fract_z
Hf1 Hf 0.000 0.000 0.000
Tl1 Tl 0.500 0.500 0.500
F1 F 0.000 0.500 0.500
```

---

(7)
Here is crystalline DyTl3S3 at its relaxed geometry from the Alexandria database. Energies are from PBE-GGA.

Computed properties:
Mass density in g/cm³: 6.8
ΔE_f (raw) in kJ/mol of atoms: -97.6
Total energy in eV for the cell shown: -62.33
Total moment in μB per formula unit: 0.0

Cell and atoms, written as CIF:
```
data_DyTl3S3
_chemical_formula_sum 'Dy2 Tl6 S6'
_symmetry_space_group_name_H-M 'P 1 21/m 1'
_symmetry_Int_Tables_number 11
_cell_length_a 8.766
_cell_length_b 4.061
_cell_length_c 11.922
_cell_angle_alpha 90.00
_cell_angle_beta 93.43
_cell_angle_gamma 90.00
loop_
_symmetry_equiv_pos_as_xyz
'x,y,z'
'-x,-y,-z'
'-x,y+1/2,-z'
'x,-y+1/2,z'
loop_
_atom_site_label
_atom_site_type_symbol
_atom_site_fract_x
_atom_site_fract_y
_atom_site_fract_z
Dy1 Dy 0.113 0.250 0.383
Tl1 Tl 0.144 0.250 0.875
Tl2 Tl 0.335 0.750 0.145
Tl3 Tl 0.384 0.750 0.637
S1 S 0.096 0.250 0.153
S2 S 0.101 0.250 0.614
S3 S 0.327 0.750 0.392
```

---

(8)
Here is crystalline Ho8SiBi2 at its relaxed geometry from the Alexandria database. Energies are from PBE-GGA.

Computed properties:
Mass density in g/cm³: 9.0
ΔE_f (raw) in kJ/mol of atoms: -35.3
Total energy in eV for the cell shown: -107.67
Total moment in μB per formula unit: 0.9

Cell and atoms, written as CIF:
```
data_Ho8SiBi2
_chemical_formula_sum 'Ho16 Si2 Bi4'
_symmetry_space_group_name_H-M 'C 1 2/m 1'
_symmetry_Int_Tables_number 12
_cell_length_a 18.381
_cell_length_b 4.236
_cell_length_c 8.430
_cell_angle_alpha 90.00
_cell_angle_beta 93.50
_cell_angle_gamma 90.00
loop_
_symmetry_equiv_pos_as_xyz
'x,y,z'
'-x,-y,-z'
'-x,y,-z'
'x,-y,z'
'x+1/2,y+1/2,z'
'-x+1/2,-y+1/2,-z'
'-x+1/2,y+1/2,-z'
'x+1/2,-y+1/2,z'
loop_
_atom_site_label
_atom_site_type_symbol
_atom_site_fract_x
_atom_site_fract_y
_atom_site_fract_z
Ho1 Ho 0.013 0.000 0.226
Ho2 Ho 0.092 0.500 0.540
Ho3 Ho 0.153 0.500 0.037
Ho4 Ho 0.207 0.000 0.365
Si1 Si 0.000 0.500 0.000
Bi1 Bi 0.179 0.000 0.769
```

---

(9)
Here is crystalline LiBe2Pt at its relaxed geometry from the Alexandria database. Energies are from PBE-GGA.

Computed properties:
Mass density in g/cm³: 8.2
Total energy in eV for the cell shown: -16.75
E_form in eV per atom: -0.336
Total moment in μB per formula unit: 0.0

Cell and atoms, written as CIF:
```
data_LiBe2Pt
_chemical_formula_sum 'Li1 Be2 Pt1'
_symmetry_space_group_name_H-M 'P 1 m 1'
_symmetry_Int_Tables_number 6
_cell_length_a 2.746
_cell_length_b 3.704
_cell_length_c 4.588
_cell_angle_alpha 90.00
_cell_angle_beta 107.01
_cell_angle_gamma 90.00
loop_
_symmetry_equiv_pos_as_xyz
'x,y,z'
'x,-y,z'
loop_
_atom_site_label
_atom_site_type_symbol
_atom_site_fract_x
_atom_site_fract_y
_atom_site_fract_z
Li1 Li 0.000 0.000 0.000
Be1 Be 0.268 0.000 0.522
Be2 Be 0.406 0.500 0.812
Pt1 Pt 0.685 0.500 0.360
```

---

(10)
Here is crystalline BaTm4Au5 at its relaxed geometry from the Alexandria database. Energies are from PBE-GGA.

Computed properties:
Mass density in g/cm³: 12.4
Total energy in eV for the cell shown: -44.48
E_form in eV per atom: -0.828
Total moment in μB per formula unit: 0.0

Cell and atoms, written as CIF:
```
data_BaTm4Au5
_chemical_formula_sum 'Ba1 Tm4 Au5'
_symmetry_space_group_name_H-M 'P 4/m m m'
_symmetry_Int_Tables_number 123
_symmetry_space_group_name_Hall '-P 4 2'
_cell_length_a 3.608
_cell_length_b 3.608
_cell_length_c 18.476
_cell_angle_alpha 90.00
_cell_angle_beta 90.00
_cell_angle_gamma 90.00
loop_
_atom_site_label
_atom_site_type_symbol
_atom_site_fract_x
_atom_site_fract_y
_atom_site_fract_z
Ba1 Ba 0.000 0.000 0.000
Tm1 Tm 0.000 0.000 0.213
Tm2 Tm 0.000 0.000 0.405
Au1 Au 0.500 0.500 0.131
Au2 Au 0.500 0.500 0.310
Au3 Au 0.500 0.500 0.500
```

---

(11)
Here is crystalline Sm5Y2Tm12 at its relaxed geometry from the Alexandria database. Energies are from PBE-GGA.

Computed properties:
Mass density in g/cm³: 8.3
Total energy in eV for the cell shown: -89.72
E_form in eV per atom: 0.024
Total moment in μB per formula unit: 0.0
Polymorph energy (0 for the lowest one) in eV per atom: 0.000

Cell and atoms, written as CIF:
```
data_Sm5Y2Tm12
_chemical_formula_sum 'Sm5 Y2 Tm12'
_symmetry_space_group_name_H-M 'P -1'
_symmetry_Int_Tables_number 2
_cell_length_a 6.119
_cell_length_b 9.358
_cell_length_c 10.595
_cell_angle_alpha 101.00
_cell_angle_beta 95.62
_cell_angle_gamma 90.02
loop_
_symmetry_equiv_pos_as_xyz
'x,y,z'
'-x,-y,-z'
loop_
_atom_site_label
_atom_site_type_symbol
_atom_site_fract_x
_atom_site_fract_y
_atom_site_fract_z
Sm1 Sm 0.000 0.000 0.000
Sm2 Sm 0.158 0.632 0.947
Sm3 Sm 0.261 0.054 0.579
Y1 Y 0.420 0.683 0.526
Tm1 Tm 0.054 0.212 0.316
Tm2 Tm 0.103 0.422 0.632
Tm3 Tm 0.211 0.842 0.263
Tm4 Tm 0.316 0.263 0.895
Tm5 Tm 0.369 0.473 0.210
Tm6 Tm 0.474 0.895 0.843
```